Compound: Tb3Ho12Os5
Source: Alexandria
Functional: GGA-PBE
Structure: relaxed Values from VASP.

The structure in Quantum ESPRESSO input format:
```
&SYSTEM
  ibrav = 0, nat = 80, ntyp = 3
/
ATOMIC_SPECIES
Os 190.23 Os.upf
Ho 164.93 Ho.upf
Tb 158.93 Tb.upf
CELL_PARAMETERS angstrom
15.098 0.000 0.000
-5.033 14.234 0.000
-5.033 -7.117 12.327
ATOMIC_POSITIONS crystal
Os 0.500 0.500 0.500
Os 0.375 0.125 0.750
Os 0.500 0.000 0.000
Os 0.375 0.250 0.125
Os 0.750 0.625 0.375
Os 0.250 0.375 0.625
Os 0.125 0.375 0.250
Os 0.125 0.750 0.375
Os 0.500 0.000 0.500
Os 0.625 0.750 0.875
Os 0.000 0.000 0.500
Os 0.250 0.875 0.125
Os 0.000 0.500 0.500
Os 0.875 0.625 0.750
Os 0.000 0.000 0.000
Os 0.750 0.125 0.875
Os 0.500 0.500 0.000
Os 0.000 0.500 0.000
Os 0.625 0.875 0.250
Os 0.875 0.250 0.625
Ho 0.305 0.907 0.987
Ho 0.602 0.695 0.682
Ho 0.580 0.593 0.398
Ho 0.080 0.898 0.093
Ho 0.398 0.093 0.580
Ho 0.987 0.580 0.182
Ho 0.593 0.013 0.195
Ho 0.898 0.818 0.805
Ho 0.195 0.682 0.102
Ho 0.818 0.920 0.013
Ho 0.487 0.805 0.907
Ho 0.102 0.182 0.195
Ho 0.420 0.407 0.602
Ho 0.920 0.818 0.513
Ho 0.182 0.102 0.695
Ho 0.920 0.102 0.907
Ho 0.407 0.987 0.805
Ho 0.682 0.487 0.580
Ho 0.805 0.318 0.898
Ho 0.013 0.420 0.818
Ho 0.398 0.305 0.318
Ho 0.580 0.987 0.682
Ho 0.013 0.593 0.695
Ho 0.695 0.602 0.182
Ho 0.602 0.907 0.420
Ho 0.318 0.513 0.420
Ho 0.305 0.398 0.818
Ho 0.102 0.920 0.407
Ho 0.695 0.093 0.013
Ho 0.487 0.682 0.080
Ho 0.907 0.602 0.920
Ho 0.898 0.080 0.593
Ho 0.195 0.513 0.593
Ho 0.182 0.080 0.987
Ho 0.818 0.898 0.305
Ho 0.513 0.195 0.093
Ho 0.093 0.398 0.080
Ho 0.420 0.013 0.318
Ho 0.593 0.580 0.898
Ho 0.987 0.407 0.305
Ho 0.682 0.195 0.602
Ho 0.907 0.305 0.487
Ho 0.805 0.487 0.407
Ho 0.093 0.695 0.513
Ho 0.407 0.420 0.102
Ho 0.080 0.182 0.487
Ho 0.318 0.805 0.398
Ho 0.513 0.318 0.920
Tb 0.375 0.625 0.250
Tb 0.625 0.250 0.375
Tb 0.375 0.750 0.625
Tb 0.875 0.125 0.250
Tb 0.250 0.125 0.375
Tb 0.750 0.375 0.125
Tb 0.125 0.250 0.875
Tb 0.250 0.625 0.875
Tb 0.875 0.750 0.125
Tb 0.125 0.875 0.750
Tb 0.625 0.375 0.750
Tb 0.750 0.875 0.625
```

Results
N(E_F): 101.13 states/eV per cell
DFT formation energy: 0.54 eV/atom
Total magnetization: 0.01 μB/f.u.

=====

Compound: MgSi2NiI
Source: Alexandria
Functional: GGA-PBE
Structure: relaxed Values from VASP.

The structure in Quantum ESPRESSO input format:
```
&SYSTEM
  ibrav = 0, nat = 5, ntyp = 4
/
ATOMIC_SPECIES
Mg 24.30 Mg.upf
I 126.90 I.upf
Si 28.09 Si.upf
Ni 58.69 Ni.upf
CELL_PARAMETERS angstrom
-3.287 0.614 4.100
1.074 -4.949 1.601
4.005 1.820 2.938
ATOMIC_POSITIONS crystal
Mg 0.000 0.500 0.000
I 0.000 0.000 0.000
Si 0.000 0.000 0.500
Si 0.500 0.000 0.000
Ni 0.500 0.500 0.500
```

Results
N(E_F): 6.04 states/eV per cell
Formation energy without anion corrections: 1.717 eV/atom
Total magnetization: 0.59 μB/f.u.

=====

Compound: Ho2ErAg3S6
Source: Alexandria
Functional: GGA-PBE
Structure: relaxed Values from VASP.

The structure in Quantum ESPRESSO input format:
```
&SYSTEM
  ibrav = 0, nat = 12, ntyp = 4
/
ATOMIC_SPECIES
Er 167.26 Er.upf
S 32.06 S.upf
Ho 164.93 Ho.upf
Ag 107.87 Ag.upf
CELL_PARAMETERS angstrom
-2.109 -2.971 -1.771
6.674 -8.082 5.607
-5.337 4.015 4.254
ATOMIC_POSITIONS crystal
Er 0.500 0.000 0.000
S 0.026 0.865 0.051
S 0.641 0.469 0.282
S 0.974 0.135 0.949
S 0.692 0.197 0.383
S 0.359 0.531 0.718
S 0.308 0.803 0.617
Ho 0.833 0.667 0.667
Ho 0.167 0.333 0.333
Ag 0.833 0.165 0.665
Ag 0.500 0.500 0.000
Ag 0.167 0.835 0.335
```

Results
N(E_F): 0.00 states/eV per cell
Formation energy without anion corrections: -1.312 eV/atom
Total magnetization: 0.00 μB/f.u.

=====

Compound: Pr4Dy2TmMg
Source: Alexandria
Functional: GGA-PBE
Structure: relaxed Values from VASP.

The structure in Quantum ESPRESSO input format:
```
&SYSTEM
  ibrav = 0, nat = 8, ntyp = 4
/
ATOMIC_SPECIES
Pr 140.91 Pr.upf
Tm 168.93 Tm.upf
Dy 162.50 Dy.upf
Mg 24.30 Mg.upf
CELL_PARAMETERS angstrom
5.815 0.000 0.000
0.000 5.651 1.368
0.000 3.825 8.898
ATOMIC_POSITIONS crystal
Pr 0.000 0.242 0.258
Pr 0.000 0.758 0.742
Pr 0.500 0.741 0.259
Pr 0.500 0.259 0.741
Tm 0.500 0.500 0.000
Dy 0.000 0.000 0.000
Dy 0.500 0.000 0.500
Mg 0.000 0.500 0.500
```

Results
N(E_F): 10.45 states/eV per cell
DFT formation energy: 0.04 eV/atom
Total magnetization: 0.00 μB/f.u.

=====

Compound: Nd7Y2Th2
Source: Alexandria
Functional: GGA-PBE
Structure: relaxed Values from VASP.

The structure in Quantum ESPRESSO input format:
```
&SYSTEM
  ibrav = 0, nat = 11, ntyp = 3
/
ATOMIC_SPECIES
Nd 144.24 Nd.upf
Y 88.91 Y.upf
Th 232.04 Th.upf
CELL_PARAMETERS angstrom
5.885 1.073 1.548
0.438 8.007 1.442
0.438 -1.462 8.004
ATOMIC_POSITIONS crystal
Nd 0.170 0.588 0.054
Nd 0.407 0.235 0.235
Nd 0.830 0.946 0.412
Nd 0.593 0.765 0.765
Nd 0.170 0.054 0.588
Nd 0.830 0.412 0.946
Nd 0.000 0.000 0.000
Y 0.500 0.222 0.778
Y 0.500 0.778 0.222
Th 0.196 0.573 0.573
Th 0.804 0.427 0.427
```

Results
N(E_F): 15.97 states/eV per cell
ΔE to the lowest computed polymorph: 0 kJ/mol of formula units
DFT formation energy: 0.17 eV/atom
Total magnetization: 0.00 μB/f.u.

=====

Compound: Sc2NiAsRh
Source: Alexandria
Functional: GGA-PBE
Structure: relaxed Values from VASP.

The structure in Quantum ESPRESSO input format:
```
&SYSTEM
  ibrav = 0, nat = 5, ntyp = 4
/
ATOMIC_SPECIES
Sc 44.96 Sc.upf
Ni 58.69 Ni.upf
As 74.92 As.upf
Rh 102.91 Rh.upf
CELL_PARAMETERS angstrom
4.974 0.000 0.000
0.000 4.486 0.000
0.000 0.000 4.974
ATOMIC_POSITIONS crystal
Sc 0.500 0.000 0.000
Sc 0.000 0.000 0.500
Ni 0.500 0.500 0.500
As 0.000 0.000 0.000
Rh 0.000 0.500 0.000
```

Results
N(E_F): 5.92 states/eV per cell
DFT formation energy: 0.11 eV/atom
Total magnetization: 0.22 μB/f.u.

=====

Compound: FeGePd4
Source: Alexandria
Functional: GGA-PBE
Structure: relaxed Values from VASP.

The structure in Quantum ESPRESSO input format:
```
&SYSTEM
  ibrav = 0, nat = 12, ntyp = 3
/
ATOMIC_SPECIES
Pd 106.42 Pd.upf
Fe 55.84 Fe.upf
Ge 72.64 Ge.upf
CELL_PARAMETERS angstrom
-0.134 -5.340 2.335
5.888 -0.266 -0.271
0.351 2.325 5.337
ATOMIC_POSITIONS crystal
Pd 0.250 0.753 0.000
Pd 0.750 0.247 0.000
Pd 0.750 0.247 0.500
Pd 0.750 0.753 0.000
Pd 0.250 0.247 0.000
Pd 0.250 0.753 0.500
Pd 0.250 0.247 0.500
Pd 0.750 0.753 0.500
Fe 0.500 0.500 0.750
Fe 0.000 0.500 0.250
Ge 0.500 0.000 0.250
Ge 0.000 0.000 0.750
```

Results
N(E_F): 6.16 states/eV per cell
DFT formation energy: -0.15 eV/atom
Total magnetization: 3.92 μB/f.u.

=====

Compound: MgFe4Ge
Source: Alexandria
Functional: GGA-PBE
Structure: relaxed Values from VASP.

The structure in Quantum ESPRESSO input format:
```
&SYSTEM
  ibrav = 0, nat = 6, ntyp = 3
/
ATOMIC_SPECIES
Fe 55.84 Fe.upf
Mg 24.30 Mg.upf
Ge 72.64 Ge.upf
CELL_PARAMETERS angstrom
4.832 0.000 0.000
2.416 4.184 0.000
2.416 1.395 3.945
ATOMIC_POSITIONS crystal
Fe 0.125 0.625 0.625
Fe 0.625 0.625 0.125
Fe 0.625 0.625 0.625
Fe 0.625 0.125 0.625
Mg 0.000 0.000 0.000
Ge 0.250 0.250 0.250
```

Results
N(E_F): 6.12 states/eV per cell
DFT formation energy: 0.11 eV/atom
Total magnetization: 8.01 μB/f.u.

=====

Compound: Mg3AgOs
Source: Alexandria
Functional: GGA-PBE
Structure: relaxed Values from VASP.

The structure in Quantum ESPRESSO input format:
```
&SYSTEM
  ibrav = 0, nat = 5, ntyp = 3
/
ATOMIC_SPECIES
Mg 24.30 Mg.upf
Ag 107.87 Ag.upf
Os 190.23 Os.upf
CELL_PARAMETERS angstrom
-4.609 1.236 1.373
-1.748 -1.725 -4.315
-0.597 -4.489 2.036
ATOMIC_POSITIONS crystal
Mg 0.500 0.000 0.000
Mg 0.000 0.000 0.500
Mg 0.000 0.500 0.000
Ag 0.500 0.500 0.500
Os 0.000 0.000 0.000
```

Results
N(E_F): 2.29 states/eV per cell
ΔE to the lowest computed polymorph: 0 kJ/mol of formula units
DFT formation energy: 0.63 eV/atom
Total magnetization: 0.00 μB/f.u.

=====

Compound: La3Ni5Te12
Source: Alexandria
Functional: GGA-PBE
Structure: relaxed Values from VASP.

The structure in Quantum ESPRESSO input format:
```
&SYSTEM
  ibrav = 0, nat = 80, ntyp = 3
/
ATOMIC_SPECIES
Ni 58.69 Ni.upf
Te 127.60 Te.upf
La 138.91 La.upf
CELL_PARAMETERS angstrom
14.391 0.000 0.000
-4.797 13.568 0.000
-4.797 -6.784 11.750
ATOMIC_POSITIONS crystal
Ni 0.500 0.500 0.500
Ni 0.750 0.125 0.875
Ni 0.500 0.000 0.500
Ni 0.125 0.375 0.250
Ni 0.875 0.250 0.625
Ni 0.000 0.000 0.000
Ni 0.000 0.000 0.500
Ni 0.125 0.750 0.375
Ni 0.750 0.625 0.375
Ni 0.375 0.125 0.750
Ni 0.500 0.000 0.000
Ni 0.000 0.500 0.500
Ni 0.500 0.500 0.000
Ni 0.375 0.250 0.125
Ni 0.625 0.750 0.875
Ni 0.250 0.875 0.125
Ni 0.625 0.875 0.250
Ni 0.000 0.500 0.000
Ni 0.250 0.375 0.625
Ni 0.875 0.625 0.750
Te 0.479 0.678 0.091
Te 0.913 0.822 0.801
Te 0.913 0.091 0.612
Te 0.087 0.909 0.388
Te 0.587 0.888 0.409
Te 0.413 0.112 0.591
Te 0.909 0.822 0.521
Te 0.587 0.699 0.678
Te 0.178 0.087 0.699
Te 0.021 0.409 0.822
Te 0.822 0.913 0.301
Te 0.822 0.909 0.021
Te 0.091 0.913 0.112
Te 0.021 0.612 0.699
Te 0.612 0.591 0.913
Te 0.322 0.521 0.409
Te 0.199 0.678 0.087
Te 0.388 0.409 0.087
Te 0.413 0.301 0.322
Te 0.678 0.479 0.591
Te 0.909 0.087 0.888
Te 0.678 0.199 0.587
Te 0.591 0.979 0.678
Te 0.091 0.178 0.479
Te 0.087 0.178 0.199
Te 0.521 0.199 0.112
Te 0.888 0.587 0.909
Te 0.409 0.021 0.322
Te 0.479 0.801 0.888
Te 0.888 0.301 0.479
Te 0.388 0.979 0.801
Te 0.521 0.322 0.909
Te 0.699 0.112 0.021
Te 0.801 0.322 0.913
Te 0.979 0.388 0.301
Te 0.301 0.888 0.979
Te 0.699 0.587 0.178
Te 0.112 0.413 0.091
Te 0.612 0.021 0.199
Te 0.979 0.591 0.178
Te 0.409 0.388 0.587
Te 0.322 0.801 0.413
Te 0.178 0.091 0.979
Te 0.301 0.413 0.822
Te 0.591 0.612 0.413
Te 0.199 0.521 0.612
Te 0.112 0.699 0.521
Te 0.801 0.479 0.388
La 0.875 0.125 0.250
La 0.625 0.250 0.375
La 0.250 0.625 0.875
La 0.625 0.375 0.750
La 0.375 0.750 0.625
La 0.125 0.875 0.750
La 0.750 0.375 0.125
La 0.250 0.125 0.375
La 0.125 0.250 0.875
La 0.875 0.750 0.125
La 0.375 0.625 0.250
La 0.750 0.875 0.625
```

Results
N(E_F): 78.75 states/eV per cell
Formation energy without anion corrections: -0.556 eV/atom
Total magnetization: 0.00 μB/f.u.

=====

Compound: Pm2Y5Sc
Source: Alexandria
Functional: GGA-PBE
Structure: relaxed Values from VASP.

The structure in Quantum ESPRESSO input format:
```
&SYSTEM
  ibrav = 0, nat = 16, ntyp = 3
/
ATOMIC_SPECIES
Y 88.91 Y.upf
Pm 145.00 Pm.upf
Sc 44.96 Sc.upf
CELL_PARAMETERS angstrom
5.554 0.000 0.000
-2.777 5.967 0.000
0.000 0.000 15.638
ATOMIC_POSITIONS crystal
Y 0.620 0.240 0.951
Y 0.464 0.927 0.750
Y 0.620 0.240 0.549
Y 0.536 0.073 0.250
Y 0.080 0.161 0.403
Y 0.080 0.161 0.097
Y 0.920 0.839 0.903
Y 0.920 0.839 0.597
Y 0.380 0.760 0.451
Y 0.380 0.760 0.049
Pm 0.218 0.437 0.866
Pm 0.782 0.563 0.366
Pm 0.218 0.437 0.634
Pm 0.782 0.563 0.134
Sc 0.731 0.462 0.750
Sc 0.269 0.538 0.250
```

Results
N(E_F): 30.15 states/eV per cell
DFT formation energy: 0.12 eV/atom
Total magnetization: 0.00 μB/f.u.

=====

Compound: BaSr2As
Source: Alexandria
Functional: GGA-PBE
Structure: relaxed Values from VASP.

The structure in Quantum ESPRESSO input format:
```
&SYSTEM
  ibrav = 0, nat = 4, ntyp = 3
/
ATOMIC_SPECIES
Sr 87.62 Sr.upf
As 74.92 As.upf
Ba 137.33 Ba.upf
CELL_PARAMETERS angstrom
8.864 0.003 -0.002
6.432 6.100 0.002
-7.370 -3.749 3.195
ATOMIC_POSITIONS crystal
Sr 0.657 0.157 0.500
Sr 0.001 0.001 0.000
As 0.503 0.503 0.000
Ba 0.339 0.839 0.500
```

Results
N(E_F): 3.24 states/eV per cell
DFT formation energy: -0.55 eV/atom
Total magnetization: 0.15 μB/f.u.

=====

Compound: AcLa5S6
Source: Alexandria
Functional: GGA-PBE
Structure: relaxed Values from VASP.

The structure in Quantum ESPRESSO input format:
```
&SYSTEM
  ibrav = 0, nat = 12, ntyp = 3
/
ATOMIC_SPECIES
La 138.91 La.upf
S 32.06 S.upf
Ac 227.00 Ac.upf
CELL_PARAMETERS angstrom
7.160 0.183 1.092
1.768 6.068 3.539
0.124 0.060 7.249
ATOMIC_POSITIONS crystal
La 0.000 0.667 0.666
La 0.500 0.834 0.331
La 0.000 0.333 0.334
La 0.500 0.500 0.000
La 0.500 0.166 0.669
S 0.254 0.577 0.338
S 0.746 0.085 0.338
S 0.254 0.915 0.662
S 0.746 0.423 0.662
S 0.252 0.254 0.000
S 0.748 0.746 0.000
Ac 0.000 0.000 0.000
```

Results
N(E_F): 6.25 states/eV per cell
Formation energy without anion corrections: -2.141 eV/atom
Total magnetization: 0.00 μB/f.u.

=====

Compound: Na2SbCl
Source: Alexandria
Functional: GGA-PBE
Structure: relaxed Values from VASP.

The structure in Quantum ESPRESSO input format:
```
&SYSTEM
  ibrav = 0, nat = 8, ntyp = 3
/
ATOMIC_SPECIES
Na 22.99 Na.upf
Cl 35.45 Cl.upf
Sb 121.76 Sb.upf
CELL_PARAMETERS angstrom
7.601 0.000 0.000
0.000 7.601 0.000
3.800 3.800 4.271
ATOMIC_POSITIONS crystal
Na 0.375 0.434 0.750
Na 0.875 0.816 0.750
Na 0.566 0.125 0.250
Na 0.184 0.625 0.250
Cl 0.500 0.500 0.000
Cl 0.250 0.750 0.500
Sb 0.000 0.000 0.000
Sb 0.750 0.250 0.500
```

Results
N(E_F): 1.28 states/eV per cell
ΔE to the lowest computed polymorph: 118 kJ/mol of formula units
Formation energy without anion corrections: -0.652 eV/atom
Total magnetization: 0.00 μB/f.u.

=====

Compound: Ag5HgPd8
Source: Alexandria
Functional: GGA-PBE
Structure: relaxed Values from VASP.

The structure in Quantum ESPRESSO input format:
```
&SYSTEM
  ibrav = 0, nat = 14, ntyp = 3
/
ATOMIC_SPECIES
Ag 107.87 Ag.upf
Pd 106.42 Pd.upf
Hg 200.59 Hg.upf
CELL_PARAMETERS angstrom
-0.412 -4.586 5.216
2.123 -2.694 -6.054
4.397 4.598 2.816
ATOMIC_POSITIONS crystal
Ag 0.281 0.077 0.918
Ag 0.500 0.000 0.500
Ag 0.795 0.637 0.719
Ag 0.082 0.363 0.159
Ag 0.841 0.923 0.205
Pd 0.714 0.406 0.967
Pd 0.692 0.253 0.286
Pd 0.156 0.758 0.081
Pd 0.323 0.242 0.398
Pd 0.033 0.747 0.439
Pd 0.602 0.925 0.844
Pd 0.561 0.594 0.308
Pd 0.919 0.075 0.677
Hg 0.250 0.500 0.750
```

Results
N(E_F): 13.06 states/eV per cell
DFT formation energy: 0.12 eV/atom
Total magnetization: 0.00 μB/f.u.

=====

Compound: CdHg2P
Source: Alexandria
Functional: GGA-PBE
Structure: relaxed Values from VASP.

The structure in Quantum ESPRESSO input format:
```
&SYSTEM
  ibrav = 0, nat = 4, ntyp = 3
/
ATOMIC_SPECIES
Cd 112.41 Cd.upf
P 30.97 P.upf
Hg 200.59 Hg.upf
CELL_PARAMETERS angstrom
-4.573 0.667 -1.992
0.843 -2.983 -2.935
-1.511 -3.200 2.397
ATOMIC_POSITIONS crystal
Cd 0.500 0.750 0.750
P 0.500 0.250 0.250
Hg 0.000 0.009 0.009
Hg 0.000 0.491 0.491
```

Results
N(E_F): 1.34 states/eV per cell
ΔE to the lowest computed polymorph: 64 kJ/mol of formula units
DFT formation energy: 0.24 eV/atom
Total magnetization: 0.00 μB/f.u.

=====

Compound: Mg2ZnHg4
Source: Alexandria
Functional: GGA-PBE
Structure: relaxed Values from VASP.

The structure in Quantum ESPRESSO input format:
```
&SYSTEM
  ibrav = 0, nat = 7, ntyp = 3
/
ATOMIC_SPECIES
Hg 200.59 Hg.upf
Mg 24.30 Mg.upf
Zn 65.41 Zn.upf
CELL_PARAMETERS angstrom
-3.616 1.350 4.514
0.126 -5.844 -1.050
5.634 1.467 1.175
ATOMIC_POSITIONS crystal
Hg 0.000 0.000 0.500
Hg 0.500 0.500 0.500
Hg 0.000 0.500 0.000
Hg 0.500 0.000 0.000
Mg 0.500 0.500 0.000
Mg 0.500 0.000 0.500
Zn 0.000 0.000 0.000
```

Results
N(E_F): 4.20 states/eV per cell
DFT formation energy: -0.05 eV/atom
Total magnetization: 0.00 μB/f.u.